No. 1
DFT (PBE-GGA) results for an optimized crystal structure of AsRhSe2.

Unit cell a=7.9753 b=7.9753 c=7.9753 alpha=25.46 beta=25.46 gamma=25.46
Closest atoms and distances in Å follow each position.
Atoms (fractional coordinates):
As 0.0000 0.0000 0.0000  3 Se 2.64, 3 Rh 2.72
Rh 0.7447 0.7447 0.7447  3 Se 2.42
Se 0.2603 0.2603 0.2603  3 As 2.64
Se 0.4684 0.4684 0.4684  3 Rh 2.42

Results
E_tot ... -4.825 eV per atom
DOS at the Fermi energy ... 2.63 states/eV/cell



No. 2
DFT (PBE-GGA) results for an optimized crystal structure of Sr2CuPbF8.

Unit cell a=4.2220 b=5.7407 c=8.2408 alpha=83.25 beta=88.04 gamma=84.05
Closest atoms and distances in Å follow each position.
Atoms (fractional coordinates):
Sr 0.0106 0.0254 0.2419  7 F 2.41-2.65
Sr 0.9894 0.9746 0.7581  7 F 2.41-2.65
Cu 0.5000 0.5000 0.0000  4 F 1.92-1.95
Pb 0.5000 0.5000 0.5000  8 F 2.47-2.70
F 0.0045 0.2453 0.4819  2 Sr 2.47-2.60, 2 Pb 2.47-2.69
F 0.1321 0.7297 0.0252  1 Cu 1.95
F 0.4495 0.3271 0.2116  1 Cu 1.92
F 0.4622 0.1788 0.7284  2 Sr 2.41, 1 Pb 2.49
F 0.5378 0.8212 0.2716  2 Sr 2.41, 1 Pb 2.49
F 0.5505 0.6729 0.7884  1 Cu 1.92
F 0.8679 0.2703 0.9748  1 Cu 1.95
F 0.9955 0.7547 0.5181  2 Sr 2.47-2.60, 2 Pb 2.47-2.69

Results
E_tot ... -5.104 eV per atom



No. 3
DFT (PBE-GGA) results for an optimized crystal structure of ScHgRuPb2.

Unit cell a=5.4856 b=5.4856 c=5.0923 alpha=90.00 beta=90.00 gamma=90.00
Closest atoms and distances in Å follow each position.
Atoms (fractional coordinates):
Sc 0.0000 0.0000 0.0000  8 Pb 3.74, 4 Ru 3.88
Hg 0.5000 0.5000 0.5000  2 Ru 2.55, 4 Pb 2.74
Ru 0.5000 0.5000 0.0000  2 Hg 2.55
Pb 0.0000 0.5000 0.5000  2 Hg 2.74
Pb 0.5000 0.0000 0.5000  2 Hg 2.74

Results
E_form ... 5.5 eV/f.u.
E_tot ... -3.562 eV per atom
DOS at the Fermi energy ... 7.60 states/eV/cell